No. 1
DFT (PBE) results for a geometry-optimized SiTePb4 structure.

Unit cell a=9.112 b=9.112 c=9.112 alpha=90.00 beta=90.00 gamma=90.00
Space group F-43m (No. 216)
Inequivalent atoms, fractional coordinates:
Si (0.000, 0.000, 0.000)
Te (0.250, 0.250, 0.750)
Pb (0.125, 0.125, 0.375)

***

No. 2
DFT (PBE) results for a geometry-optimized Si2TePb structure.

Unit cell a=5.213 b=3.910 c=5.340 alpha=90.00 beta=102.72 gamma=90.00
Space group P2/m (No. 10)
Inequivalent atoms, fractional coordinates:
Si (0.170, 0.000, 0.187)
Te (0.000, 0.500, 0.500)
Pb (0.500, 0.500, 0.000)

Calculated values
- E above lowest polymorph: 0.1493 eV per atom

***

No. 3
DFT (PBE) results for a geometry-optimized SiTe2Pb structure.

Unit cell a=3.768 b=5.347 c=5.352 alpha=90.00 beta=90.00 gamma=90.00
Space group Pmmm (No. 47)
Inequivalent atoms, fractional coordinates:
Si (0.000, 0.000, 0.000)
Te (0.000, 0.500, 0.500)
Te (0.500, 0.000, 0.500)
Pb (0.500, 0.500, 0.000)

Calculated values
- E above lowest polymorph: 0.4425 eV per atom

***

No. 4
DFT (PBE) results for a geometry-optimized SiTe3Pb structure.

Unit cell a=12.154 b=10.037 c=6.271 alpha=90.00 beta=93.96 gamma=90.00
Space group C2/m (No. 12)
Inequivalent atoms, fractional coordinates:
Si (0.000, 0.171, 0.000)
Te (0.101, 0.000, 0.767)
Te (0.132, 0.291, 0.251)
Pb (0.196, 0.500, 0.914)

***

No. 5
DFT (PBE) results for a geometry-optimized SiTe2Pb structure.

Unit cell a=14.622 b=4.021 c=4.559 alpha=90.00 beta=94.04 gamma=90.00
Space group Cm (No. 8)
Inequivalent atoms, fractional coordinates:
Si (0.000, 0.000, 0.000)
Te (0.160, 0.500, 0.063)
Te (0.447, 0.000, 0.602)
Pb (0.234, 0.000, 0.578)

Calculated values
- E above lowest polymorph: 0.1781 eV per atom

***

No. 6
DFT (PBE) results for a geometry-optimized SiTe6Pb4 structure.

Unit cell a=17.154 b=8.109 c=14.794 alpha=90.00 beta=119.82 gamma=90.00
Space group Cc (No. 9)
Inequivalent atoms, fractional coordinates:
Si (0.000, 0.228, 0.000)
Te (0.121, 0.216, 0.383)
Te (0.163, 0.257, 0.038)
Te (0.244, 0.224, 0.758)
Te (0.403, 0.228, 0.305)
Te (0.443, 0.473, 0.047)
Te (0.488, 0.039, 0.608)
Pb (0.075, 0.126, 0.782)
Pb (0.213, 0.396, 0.260)
Pb (0.271, 0.071, 0.585)
Pb (0.452, 0.174, 0.913)

***

No. 7
DFT (PBE) results for a geometry-optimized SiTe2Pb structure.

Unit cell a=3.731 b=5.786 c=11.518 alpha=90.00 beta=90.00 gamma=90.00
Space group Imm2 (No. 44)
Inequivalent atoms, fractional coordinates:
Si (0.000, 0.000, 0.000)
Te (0.000, 0.000, 0.546)
Te (0.000, 0.500, 0.328)
Pb (0.000, 0.500, 0.828)

Calculated values
- E above lowest polymorph: 0.2656 eV per atom

***

No. 8
DFT (PBE) results for a geometry-optimized Si2TePb structure.

Unit cell a=5.021 b=5.021 c=3.711 alpha=90.00 beta=90.00 gamma=90.00
Space group P4/mmm (No. 123)
Inequivalent atoms, fractional coordinates:
Si (0.000, 0.500, 0.000)
Te (0.000, 0.000, 0.500)
Pb (0.500, 0.500, 0.500)

Calculated values
- E above lowest polymorph: 0.3586 eV per atom

***

No. 9
DFT (PBE) results for a geometry-optimized SiTe2Pb structure.

Unit cell a=4.307 b=6.194 c=8.544 alpha=90.00 beta=90.00 gamma=90.00
Space group Cmmm (No. 65)
Inequivalent atoms, fractional coordinates:
Si (0.000, 0.000, 0.000)
Te (0.000, 0.500, 0.216)
Pb (0.000, 0.000, 0.500)

Calculated values
- E above lowest polymorph: 0.3168 eV per atom

***

No. 10
DFT (PBE) results for a geometry-optimized SiTe2Pb structure.

Unit cell a=4.403 b=4.403 c=6.535 alpha=90.00 beta=90.00 gamma=90.00
Space group P4mm (No. 99)
Inequivalent atoms, fractional coordinates:
Si (0.000, 0.000, 0.000)
Te (0.000, 0.000, 0.404)
Te (0.500, 0.500, 0.970)
Pb (0.500, 0.500, 0.496)

Calculated values
- E above lowest polymorph: 0.0413 eV per atom

***

No. 11
DFT (PBE) results for a geometry-optimized Si2TePb structure.

Unit cell a=4.552 b=3.835 c=6.105 alpha=90.00 beta=104.68 gamma=90.00
Space group Pm (No. 6)
Inequivalent atoms, fractional coordinates:
Si (0.000, 0.000, 0.000)
Si (0.303, 0.500, 0.974)
Te (0.519, 0.000, 0.665)
Pb (0.836, 0.500, 0.340)

Calculated values
- E above lowest polymorph: 0.0347 eV per atom

***

No. 12
DFT (PBE) results for a geometry-optimized Si2TePb structure.

Unit cell a=3.9603 b=3.9603 c=21.5144 alpha=90.00 beta=90.00 gamma=120.00
Space group R-3m (No. 166, hexagonal axes)
Inequivalent atoms, fractional coordinates:
Si (0.0000, 0.0000, 0.2471)
Te (0.0000, 0.0000, 0.5000)
Pb (0.0000, 0.0000, 0.0000)

Calculated values
- E above lowest polymorph: 0.2214 eV per atom

***

| no. | ΔE_f (raw) (eV per atom) | size of the total moment (μB per formula unit) |
| --- | --- | --- |
| 1 | 0.490 | 0.0 |
| 2 | 0.355 | 0.0 |
| 3 | 0.387 | 0.0 |
| 4 | -0.150 | 0.0 |
| 5 | 0.123 | 0.0 |
| 6 | -0.238 | 0.0 |
| 7 | 0.210 | 0.0 |
| 8 | 0.565 | 0.0 |
| 9 | 0.262 | 0.0 |
| 10 | -0.014 | 0.0 |
| 11 | 0.241 | 0.0 |
| 12 | 0.428 | 0.0 |